The following is a DFT calculation (GGA+U) of an optimized crystal structure of La2CrFeO6.

Unit cell a=5.5300 b=5.5484 c=9.5736 alpha=90.00 beta=125.22 gamma=90.00
Fractional coordinates of all 20 atoms:
La1 0.2434 0.0306 0.2501
La2 0.2434 0.4694 0.7501
La3 0.7566 0.5306 0.2499
La4 0.7566 0.9694 0.7499
Cr1 0.5000 0.0000 0.0000
Cr2 0.5000 0.5000 0.5000
Fe1 0.0000 0.0000 0.5000
Fe2 0.0000 0.5000 0.0000
O1 0.1740 0.2177 0.9608
O2 0.1740 0.2823 0.4608
O3 0.2406 0.7145 0.9600
O4 0.2406 0.7855 0.4600
O5 0.3216 0.0149 0.7475
O6 0.3216 0.4851 0.2475
O7 0.6784 0.5149 0.7525
O8 0.6784 0.9851 0.2525
O9 0.7594 0.2145 0.5400
O10 0.7594 0.2855 0.0400
O11 0.8260 0.7177 0.5392
O12 0.8260 0.7823 0.0392

Calculated values
Its calculated total energy is -7.764 eV per atom. As for the space group: No. 14.